1.
DFT (PBE-GGA) results for an optimized crystal structure of BeSbBr4.

Results
As for the theoretical density: 4410 kg/m3. The value obtained for the formation energy without anion corrections is 1039 meV per atom. The calculation puts the total energy at -8.304 eV per formula unit.

Lattice parameters (Å, degrees): 6.213 6.213 6.213 60.00 60.00 60.00
Fractional coordinates of all 6 atoms:
Br (0.375, 0.875, 0.375)
Br (0.875, 0.375, 0.375)
Br (0.375, 0.375, 0.375)
Br (0.375, 0.375, 0.875)
Be (0.000, 0.000, 0.000)
Sb (0.750, 0.750, 0.750)


2.
DFT (PBE-GGA) results for an optimized crystal structure of BeSbBr3.

Results
As for the theoretical density: 3443 kg/m3. The value obtained for the formation energy without anion corrections is 310 meV per atom. The energy above the lowest structure with this stoichiometry comes out at 0.3561 eV/atom. The calculation puts the total energy at -11.319 eV per formula unit.

Lattice parameters (Å, degrees): 5.632 5.632 5.632 90.00 90.00 90.00
Fractional coordinates of all 5 atoms:
Br (0.500, 0.000, 0.000)
Br (0.000, 0.000, 0.500)
Br (0.000, 0.500, 0.000)
Sb (0.000, 0.000, 0.000)
Be (0.500, 0.500, 0.500)


3.
DFT (PBE-GGA) results for an optimized crystal structure of Be3SbBr.

Results
As for the theoretical density: 4139 kg/m3. The value obtained for the formation energy without anion corrections is 1189 meV per atom. The energy above the lowest structure with this stoichiometry comes out at 0.2213 eV/atom. The calculation puts the total energy at -11.030 eV per formula unit.

Lattice parameters (Å, degrees): 4.510 4.510 4.510 90.00 90.00 90.00
Fractional coordinates of all 5 atoms:
Be (0.500, 0.000, 0.000)
Be (0.000, 0.000, 0.500)
Be (0.000, 0.500, 0.000)
Br (0.000, 0.000, 0.000)
Sb (0.500, 0.500, 0.500)


4.
DFT (PBE-GGA) results for an optimized crystal structure of BeSbBr.

Results
As for the theoretical density: 4082 kg/m3. The value obtained for the formation energy without anion corrections is 8 meV per atom. The energy above the lowest structure with this stoichiometry comes out at 0.2228 eV/atom. The calculation puts the total energy at -9.498 eV per formula unit.

Lattice parameters (Å, degrees): 8.688 8.179 3.703 85.15 69.72 25.13
Fractional coordinates of all 3 atoms:
Sb (0.618, 0.618, 0.382)
Be (0.988, 0.988, 0.012)
Br (0.394, 0.394, 0.606)


The highest formation energy without anion corrections belongs to which entry?
Be3SbBr


What did the first record say?
DFT (PBE-GGA) results for an optimized crystal structure of BeSbBr4.

Results
As for the theoretical density: 4410 kg/m3. The value obtained for the formation energy without anion corrections is 1039 meV per atom. The calculation puts the total energy at -8.304 eV per formula unit.

Lattice parameters (Å, degrees): 6.213 6.213 6.213 60.00 60.00 60.00
Fractional coordinates of all 6 atoms:
Br (0.375, 0.875, 0.375)
Br (0.875, 0.375, 0.375)
Br (0.375, 0.375, 0.375)
Br (0.375, 0.375, 0.875)
Be (0.000, 0.000, 0.000)
Sb (0.750, 0.750, 0.750)


What is the formula in the second record?
BeSbBr3


What did the third record say?
DFT (PBE-GGA) results for an optimized crystal structure of Be3SbBr.

Results
As for the theoretical density: 4139 kg/m3. The value obtained for the formation energy without anion corrections is 1189 meV per atom. The energy above the lowest structure with this stoichiometry comes out at 0.2213 eV/atom. The calculation puts the total energy at -11.030 eV per formula unit.

Lattice parameters (Å, degrees): 4.510 4.510 4.510 90.00 90.00 90.00
Fractional coordinates of all 5 atoms:
Be (0.500, 0.000, 0.000)
Be (0.000, 0.000, 0.500)
Be (0.000, 0.500, 0.000)
Br (0.000, 0.000, 0.000)
Sb (0.500, 0.500, 0.500)